A plane-wave DFT calculation with PBE-GGA was carried out for a geometry-optimized MnRhSe2 structure.

## Properties
Spin magnetization: 3.413 μB/f.u.
Excess energy over the best structure of this formula in the dataset: 282 meV/atom
E_form (uncorrected): -45 meV per atom
DOS at the Fermi energy: 16.035 states/eV per cell
Crystal system: cubic
E_tot: -5.9180 eV/atom

Cell: 6.373 6.373 6.373 Å, 90.00 90.00 90.00°
Space group Fm-3m (No. 225)
Symmetry-distinct sites (fractional):
Mn1 0.000 0.000 0.000 x4
Rh1 0.000 0.000 0.500 x4
Se1 0.250 0.250 0.250 x8